No. 1
Density functional theory data (GGA-PBE) for an optimized crystal structure of PrY2I.

a = 10.8331 Å, b = 10.8331 Å, c = 10.8331 Å
α = 20.19°, β = 20.19°, γ = 20.19°
With the nearest neighbours (Å) after each atom.
Element x y z (fractional)
Pr 0.0000 0.0000 0.0000  6 Y 3.59-3.61, 6 Pr 3.80
Y 0.5772 0.5772 0.5772  3 I 3.29, 3 Pr 3.59
Y 0.7568 0.7568 0.7568  3 I 3.28, 3 Pr 3.61
I 0.1669 0.1669 0.1669  6 Y 3.28-3.29

Output
space group	No. 160
ΔE to the lowest computed polymorph	0.00	eV per formula unit

---

No. 2
Density functional theory data (GGA-PBE) for an optimized crystal structure of PrYI.

a = 3.7521 Å, b = 3.7521 Å, c = 14.2216 Å
α = 90.00°, β = 90.00°, γ = 90.00°
With the nearest neighbours (Å) after each atom.
Element x y z (fractional)
Pr 0.2500 0.2500 0.0900  4 I 3.67, 8 Pr 3.69-3.75
Pr 0.7500 0.7500 0.9100  4 I 3.67, 8 Pr 3.69-3.75
Y 0.2500 0.2500 0.4175  4 I 3.40, 8 Y 3.54-3.75
Y 0.7500 0.7500 0.5825  4 I 3.40, 8 Y 3.54-3.75
I 0.2500 0.2500 0.7320  4 Y 3.40, 4 Pr 3.67, 4 I 3.75
I 0.7500 0.7500 0.2680  4 Y 3.40, 4 Pr 3.67, 4 I 3.75

Output
space group	No. 129
ΔE to the lowest computed polymorph	0.00	eV per formula unit

---

No. 3
Density functional theory data (GGA-PBE) for an optimized crystal structure of Pr2YI.

a = 3.7319 Å, b = 3.7319 Å, c = 9.8215 Å
α = 90.00°, β = 90.00°, γ = 90.00°
With the nearest neighbours (Å) after each atom.
Element x y z (fractional)
Pr 0.0000 0.0000 0.2400  4 I 3.54, 4 Y 3.67, 4 Pr 3.73
Pr 0.0000 0.0000 0.7600  4 I 3.54, 4 Y 3.67, 4 Pr 3.73
Y 0.5000 0.5000 0.5000  8 Pr 3.67, 4 Y 3.73
I 0.5000 0.5000 0.0000  8 Pr 3.54, 4 I 3.73

Output
space group	No. 123
ΔE to the lowest computed polymorph	0.21	eV per formula unit

---

No. 4
Density functional theory data (GGA-PBE) for an optimized crystal structure of Pr2ZnI.

a = 3.7176 Å, b = 3.7176 Å, c = 8.4497 Å
α = 90.00°, β = 90.00°, γ = 90.00°
With the nearest neighbours (Å) after each atom.
Element x y z (fractional)
Pr 0.0000 0.0000 0.2186  4 Zn 3.21, 4 I 3.54
Pr 0.0000 0.0000 0.7814  4 Zn 3.21, 4 I 3.54
Zn 0.5000 0.5000 0.0000  8 Pr 3.21
I 0.5000 0.5000 0.5000  8 Pr 3.54, 4 I 3.72

Output
space group	No. 123
ΔE to the lowest computed polymorph	0.19	eV per formula unit

---

No. 5
Density functional theory data (GGA-PBE) for an optimized crystal structure of Pr2ZnI.

a = 8.4888 Å, b = 8.4888 Å, c = 8.4888 Å
α = 28.89°, β = 28.89°, γ = 28.89°
With the nearest neighbours (Å) after each atom.
Element x y z (fractional)
Pr 0.2397 0.2397 0.2397  3 Zn 3.02, 3 I 3.35
Pr 0.7603 0.7603 0.7603  3 Zn 3.02, 3 I 3.35
Zn 0.5000 0.5000 0.5000  6 Pr 3.02
I 0.0000 0.0000 0.0000  6 Pr 3.35

Output
space group	No. 166
ΔE to the lowest computed polymorph	0.03	eV per formula unit

---

No. 6
Density functional theory data (GGA-PBE) for an optimized crystal structure of Pr2ZnI.

a = 8.9605 Å, b = 8.9605 Å, c = 8.9605 Å
α = 26.27°, β = 26.27°, γ = 26.27°
With the nearest neighbours (Å) after each atom.
Element x y z (fractional)
Pr 0.0000 0.0000 0.0000  3 Zn 3.04, 3 I 3.34
Pr 0.1839 0.1839 0.1839  3 Zn 3.05, 3 I 3.36
Zn 0.5924 0.5924 0.5924  6 Pr 3.04-3.05
I 0.4246 0.4246 0.4246  6 Pr 3.34-3.36

Output
space group	No. 160
ΔE to the lowest computed polymorph	0.00	eV per formula unit

---

No. 7
Density functional theory data (GGA-PBE) for an optimized crystal structure of PrZnI.

a = 12.5159 Å, b = 12.5159 Å, c = 12.5159 Å
α = 20.12°, β = 20.12°, γ = 20.12°
With the nearest neighbours (Å) after each atom.
Element x y z (fractional)
Pr 0.0548 0.0548 0.0548  6 Zn 3.20-3.26, 3 I 3.28
Pr 0.9452 0.9452 0.9452  6 Zn 3.20-3.26, 3 I 3.28
Zn 0.3345 0.3345 0.3345  3 Zn 2.53
Zn 0.6655 0.6655 0.6655  3 Zn 2.53
I 0.2214 0.2214 0.2214  3 Pr 3.28
I 0.7786 0.7786 0.7786  3 Pr 3.28

Output
space group	No. 166

---

No. 8
Density functional theory data (GGA-PBE) for an optimized crystal structure of Pr3ZnI3.

a = 10.9066 Å, b = 10.9066 Å, c = 10.9066 Å
α = 109.47°, β = 109.47°, γ = 109.47°
With the nearest neighbours (Å) after each atom.
Element x y z (fractional)
Pr 0.0127 0.0255 0.2627  2 Zn 2.99, 4 I 3.28-3.32
Pr 0.0127 0.4873 0.7500  2 Zn 2.99, 4 I 3.28-3.32
Pr 0.0255 0.2627 0.0127  2 Zn 2.99, 4 I 3.28-3.32
Pr 0.2373 0.2627 0.7500  2 Zn 2.99, 4 I 3.28-3.32
Pr 0.2373 0.4745 0.4873  2 Zn 2.99, 4 I 3.28-3.32
Pr 0.2627 0.0127 0.0255  2 Zn 2.99, 4 I 3.28-3.32
Pr 0.2627 0.7500 0.2373  2 Zn 2.99, 4 I 3.28-3.32
Pr 0.4745 0.4873 0.2373  2 Zn 2.99, 4 I 3.28-3.32
Pr 0.4873 0.2373 0.4745  2 Zn 2.99, 4 I 3.28-3.32
Pr 0.4873 0.7500 0.0127  2 Zn 2.99, 4 I 3.28-3.32
Pr 0.7500 0.0127 0.4873  2 Zn 2.99, 4 I 3.28-3.32
Pr 0.7500 0.2373 0.2627  2 Zn 2.99, 4 I 3.28-3.32
Zn 0.0000 0.2500 0.5000  6 Pr 2.99
Zn 0.2500 0.2500 0.2500  6 Pr 2.99
Zn 0.2500 0.5000 0.0000  6 Pr 2.99
Zn 0.5000 0.0000 0.2500  6 Pr 2.99
I 0.2500 0.7592 0.7408  4 Pr 3.28-3.32
I 0.2500 0.9908 0.5092  4 Pr 3.28-3.32
I 0.5092 0.2500 0.9908  4 Pr 3.28-3.32
I 0.5092 0.7592 0.5184  4 Pr 3.28-3.32
I 0.5184 0.5092 0.7592  4 Pr 3.28-3.32
I 0.7408 0.2500 0.7592  4 Pr 3.28-3.32
I 0.7408 0.9908 0.9816  4 Pr 3.28-3.32
I 0.7592 0.5184 0.5092  4 Pr 3.28-3.32
I 0.7592 0.7408 0.2500  4 Pr 3.28-3.32
I 0.9816 0.7408 0.9908  4 Pr 3.28-3.32
I 0.9908 0.5092 0.2500  4 Pr 3.28-3.32
I 0.9908 0.9816 0.7408  4 Pr 3.28-3.32

Output
space group	No. 214

---

No. 9
Density functional theory data (GGA-PBE) for an optimized crystal structure of PrZrI.

a = 6.3211 Å, b = 6.3211 Å, c = 6.2116 Å
α = 115.53°, β = 115.53°, γ = 54.78°
With the nearest neighbours (Å) after each atom.
Element x y z (fractional)
Pr 0.1799 0.1799 0.4796  3 I 3.09-3.26, 2 Pr 3.26
Pr 0.8201 0.8201 0.5204  3 I 3.09-3.26, 2 Pr 3.26
Zr 0.4518 0.4518 0.2338  1 Zr 2.94, 3 I 3.05-3.10
Zr 0.5482 0.5482 0.7662  1 Zr 2.94, 3 I 3.05-3.10
I 0.1409 0.1409 0.9394  3 Zr 3.05-3.10, 3 Pr 3.09-3.26
I 0.8591 0.8591 0.0606  3 Zr 3.05-3.10, 3 Pr 3.09-3.26

Output
space group	No. 12

---

No. 10
Density functional theory data (GGA-PBE) for an optimized crystal structure of PtI.

a = 11.0285 Å, b = 4.2459 Å, c = 7.2800 Å
α = 90.00°, β = 90.00°, γ = 90.00°
With the nearest neighbours (Å) after each atom.
Element x y z (fractional)
Pt 0.0000 0.1354 0.0000  3 I 2.63-2.69, 2 Pt 2.71
Pt 0.1806 0.3389 0.7764  3 I 2.58-2.72, 1 Pt 2.71
Pt 0.3194 0.6611 0.2764  3 I 2.58-2.72, 1 Pt 2.71
Pt 0.5000 0.8646 0.5000  3 I 2.63-2.69, 2 Pt 2.71
Pt 0.6806 0.6611 0.2764  3 I 2.58-2.72, 1 Pt 2.71
Pt 0.8194 0.3389 0.7764  3 I 2.58-2.72, 1 Pt 2.71
I 0.0000 0.7173 0.7334  3 Pt 2.58-2.63
I 0.1692 0.1517 0.2655  3 Pt 2.66-2.72
I 0.3308 0.8483 0.7655  3 Pt 2.66-2.72
I 0.5000 0.2827 0.2334  3 Pt 2.58-2.63
I 0.6692 0.8483 0.7655  3 Pt 2.66-2.72
I 0.8308 0.1517 0.2655  3 Pt 2.66-2.72

Output
space group	No. 31

---

No. 11
Density functional theory data (GGA-PBE) for an optimized crystal structure of PtI.

a = 3.7124 Å, b = 3.7891 Å, c = 7.8141 Å
α = 90.00°, β = 90.00°, γ = 90.00°
With the nearest neighbours (Å) after each atom.
Element x y z (fractional)
Pt 0.2500 0.2500 0.0609  2 I 2.62, 4 Pt 2.82
Pt 0.7500 0.7500 0.9391  2 I 2.62, 4 Pt 2.82
I 0.2500 0.7500 0.2924  2 Pt 2.62
I 0.7500 0.2500 0.7076  2 Pt 2.62

Output
space group	No. 59

---

No. 12
Density functional theory data (GGA-PBE) for an optimized crystal structure of Pt2I5.

a = 9.5722 Å, b = 9.5722 Å, c = 7.7299 Å
α = 106.60°, β = 106.60°, γ = 53.07°
With the nearest neighbours (Å) after each atom.
Element x y z (fractional)
Pt 0.0557 0.6590 0.6814  4 I 2.63-2.66
Pt 0.3410 0.9443 0.8186  4 I 2.63-2.66
Pt 0.6590 0.0557 0.1814  4 I 2.63-2.66
Pt 0.9443 0.3410 0.3186  4 I 2.63-2.66
I 0.0007 0.2097 0.9780  1 Pt 2.63
I 0.1530 0.4492 0.3663  2 Pt 2.65-2.66
I 0.2097 0.0007 0.4780  1 Pt 2.63
I 0.3441 0.6559 0.7500  2 Pt 2.64
I 0.4492 0.1530 0.8663  2 Pt 2.65-2.66
I 0.5508 0.8470 0.1337  2 Pt 2.65-2.66
I 0.6559 0.3441 0.2500  2 Pt 2.64
I 0.7903 0.9993 0.5220  1 Pt 2.63
I 0.8470 0.5508 0.6337  2 Pt 2.65-2.66
I 0.9993 0.7903 0.0220  1 Pt 2.63

Output
space group	No. 15

---

No. 13
Density functional theory data (GGA-PBE) for an optimized crystal structure of PtI4.

a = 6.9914 Å, b = 14.0757 Å, c = 16.1089 Å
α = 90.00°, β = 90.00°, γ = 90.00°
With the nearest neighbours (Å) after each atom.
Element x y z (fractional)
Pt 0.1015 0.1820 0.1890  6 I 2.68-2.85
Pt 0.1015 0.3180 0.6890  6 I 2.68-2.85
Pt 0.3985 0.6820 0.1890  6 I 2.68-2.85
Pt 0.3985 0.8180 0.6890  6 I 2.68-2.85
Pt 0.6015 0.1820 0.3110  6 I 2.68-2.85
Pt 0.6015 0.3180 0.8110  6 I 2.68-2.85
Pt 0.8985 0.6820 0.3110  6 I 2.68-2.85
Pt 0.8985 0.8180 0.8110  6 I 2.68-2.85
I 0.0504 0.7051 0.9317  1 Pt 2.73
I 0.0504 0.7949 0.4317  1 Pt 2.73
I 0.0796 0.7118 0.6947  2 Pt 2.69-2.71
I 0.0796 0.7882 0.1947  2 Pt 2.69-2.71
I 0.2124 0.5733 0.3146  2 Pt 2.68-2.85
I 0.2124 0.9267 0.8146  2 Pt 2.68-2.85
I 0.2447 0.5690 0.0724  1 Pt 2.69
I 0.2447 0.9310 0.5724  1 Pt 2.69
I 0.2553 0.0690 0.0724  1 Pt 2.69
I 0.2553 0.4310 0.5724  1 Pt 2.69
I 0.2876 0.0733 0.3146  2 Pt 2.68-2.85
I 0.2876 0.4267 0.8146  2 Pt 2.68-2.85
I 0.4204 0.2118 0.6947  2 Pt 2.69-2.71
I 0.4204 0.2882 0.1947  2 Pt 2.69-2.71
I 0.4496 0.2051 0.9317  1 Pt 2.73
I 0.4496 0.2949 0.4317  1 Pt 2.73
I 0.5504 0.7051 0.5683  1 Pt 2.73
I 0.5504 0.7949 0.0683  1 Pt 2.73
I 0.5796 0.7118 0.8053  2 Pt 2.69-2.71
I 0.5796 0.7882 0.3053  2 Pt 2.69-2.71
I 0.7124 0.5733 0.1854  2 Pt 2.68-2.85
I 0.7124 0.9267 0.6854  2 Pt 2.68-2.85
I 0.7447 0.5690 0.4276  1 Pt 2.69
I 0.7447 0.9310 0.9276  1 Pt 2.69
I 0.7553 0.0690 0.4276  1 Pt 2.69
I 0.7553 0.4310 0.9276  1 Pt 2.69
I 0.7876 0.0733 0.1854  2 Pt 2.68-2.85
I 0.7876 0.4267 0.6854  2 Pt 2.68-2.85
I 0.9204 0.2118 0.8053  2 Pt 2.69-2.71
I 0.9204 0.2882 0.3053  2 Pt 2.69-2.71
I 0.9496 0.2051 0.5683  1 Pt 2.73
I 0.9496 0.2949 0.0683  1 Pt 2.73

Output
space group	No. 61
ΔE to the lowest computed polymorph	0.00	eV per formula unit

---

No. 14
Density functional theory data (GGA-PBE) for an optimized crystal structure of PtI4.

a = 6.8117 Å, b = 8.3482 Å, c = 7.0035 Å
α = 90.00°, β = 107.31°, γ = 90.00°
With the nearest neighbours (Å) after each atom.
Element x y z (fractional)
Pt 0.0000 0.1144 0.2500  6 I 2.70-2.73
Pt 0.0000 0.8856 0.7500  6 I 2.70-2.73
I 0.2271 0.1169 0.9935  2 Pt 2.70-2.73
I 0.2271 0.8831 0.4935  2 Pt 2.70-2.73
I 0.2541 0.3423 0.4612  1 Pt 2.70
I 0.2541 0.6577 0.9612  1 Pt 2.70
I 0.7459 0.3423 0.0388  1 Pt 2.70
I 0.7459 0.6577 0.5388  1 Pt 2.70
I 0.7729 0.1169 0.5065  2 Pt 2.70-2.73
I 0.7729 0.8831 0.0065  2 Pt 2.70-2.73

Output
space group	No. 13
ΔE to the lowest computed polymorph	0.10	eV per formula unit

---

No. 15
Density functional theory data (GGA-PBE) for an optimized crystal structure of PtI3.

a = 7.1018 Å, b = 7.1018 Å, c = 13.5246 Å
α = 95.66°, β = 95.66°, γ = 119.55°
With the nearest neighbours (Å) after each atom.
Element x y z (fractional)
Pt 0.0000 0.5000 0.5000  4 I 2.64-2.65
Pt 0.0961 0.9039 0.7500  6 I 2.68-2.79
Pt 0.5000 0.0000 0.0000  4 I 2.64-2.65
Pt 0.9039 0.0961 0.2500  6 I 2.68-2.79
I 0.0670 0.1918 0.6409  1 Pt 2.71
I 0.1635 0.6548 0.8804  2 Pt 2.65-2.79
I 0.1918 0.0670 0.1409  1 Pt 2.71
I 0.2385 0.4400 0.3760  2 Pt 2.64-2.68
I 0.3452 0.8365 0.6196  2 Pt 2.65-2.79
I 0.4400 0.2385 0.8760  2 Pt 2.64-2.68
I 0.5600 0.7615 0.1240  2 Pt 2.64-2.68
I 0.6548 0.1635 0.3804  2 Pt 2.65-2.79
I 0.7615 0.5600 0.6240  2 Pt 2.64-2.68
I 0.8082 0.9330 0.8591  1 Pt 2.71
I 0.8365 0.3452 0.1196  2 Pt 2.65-2.79
I 0.9330 0.8082 0.3591  1 Pt 2.71

Output
space group	No. 15

---

No. 16
Density functional theory data (GGA-PBE) for an optimized crystal structure of PtI.

a = 5.4566 Å, b = 7.3037 Å, c = 11.2324 Å
α = 90.00°, β = 90.00°, γ = 90.00°
With the nearest neighbours (Å) after each atom.
Element x y z (fractional)
Pt 0.0646 0.2282 0.4823  3 Pt 2.64-2.78, 3 I 2.66-2.72
Pt 0.1703 0.3814 0.6891  2 I 2.63-2.69, 1 Pt 2.64
Pt 0.3297 0.6186 0.1891  2 I 2.63-2.69, 1 Pt 2.64
Pt 0.4354 0.7718 0.9823  3 Pt 2.64-2.78, 3 I 2.66-2.72
Pt 0.5646 0.2718 0.5177  3 Pt 2.64-2.78, 3 I 2.66-2.72
Pt 0.6703 0.1186 0.3109  2 I 2.63-2.69, 1 Pt 2.64
Pt 0.8297 0.8814 0.8109  2 I 2.63-2.69, 1 Pt 2.64
Pt 0.9354 0.7282 0.0177  3 Pt 2.64-2.78, 3 I 2.66-2.72
I 0.2060 0.0266 0.2908  2 Pt 2.63-2.72
I 0.2144 0.4612 0.9222  3 Pt 2.66-2.70
I 0.2856 0.5388 0.4222  3 Pt 2.66-2.70
I 0.2940 0.9734 0.7908  2 Pt 2.63-2.72
I 0.7060 0.4734 0.7092  2 Pt 2.63-2.72
I 0.7144 0.0388 0.0778  3 Pt 2.66-2.70
I 0.7856 0.9612 0.5778  3 Pt 2.66-2.70
I 0.7940 0.5266 0.2092  2 Pt 2.63-2.72

Output
space group	No. 19

---

No. 17
Density functional theory data (GGA-PBE) for an optimized crystal structure of PtI.

a = 7.5047 Å, b = 7.5047 Å, c = 4.2863 Å
α = 90.00°, β = 90.00°, γ = 90.00°
With the nearest neighbours (Å) after each atom.
Element x y z (fractional)
Pt 0.1267 0.1267 0.0000  4 I 2.66-2.74, 1 Pt 2.69
Pt 0.3733 0.6267 0.5000  4 I 2.66-2.74, 1 Pt 2.69
Pt 0.6267 0.3733 0.5000  4 I 2.66-2.74, 1 Pt 2.69
Pt 0.8733 0.8733 0.0000  4 I 2.66-2.74, 1 Pt 2.69
I 0.2245 0.7755 0.0000  4 Pt 2.66-2.74
I 0.2755 0.2755 0.5000  4 Pt 2.66-2.74
I 0.7245 0.7245 0.5000  4 Pt 2.66-2.74
I 0.7755 0.2245 0.0000  4 Pt 2.66-2.74

Output
space group	No. 136

---

No. 18
Density functional theory data (GGA-PBE) for an optimized crystal structure of PtI.

a = 4.0249 Å, b = 4.0249 Å, c = 4.0249 Å
α = 60.00°, β = 60.00°, γ = 60.00°
With the nearest neighbours (Å) after each atom.
Element x y z (fractional)
Pt 0.0000 0.0000 0.0000  6 I 2.85
I 0.5000 0.5000 0.5000  6 Pt 2.85

Output
space group	No. 225

---

No. 19
Density functional theory data (GGA-PBE) for an optimized crystal structure of PtI.

a = 4.2634 Å, b = 4.2634 Å, c = 7.3493 Å
α = 90.00°, β = 90.00°, γ = 120.00°
With the nearest neighbours (Å) after each atom.
Element x y z (fractional)
Pt 0.3333 0.6667 0.0000  4 I 2.63-2.67
Pt 0.6667 0.3333 0.5000  4 I 2.63-2.67
I 0.3333 0.6667 0.6423  4 Pt 2.63-2.67
I 0.6667 0.3333 0.1423  4 Pt 2.63-2.67

Output
space group	No. 186

---

No. 20
Density functional theory data (GGA-PBE) for an optimized crystal structure of PtI.

a = 7.9171 Å, b = 7.7688 Å, c = 5.5849 Å
α = 70.57°, β = 67.73°, γ = 41.70°
With the nearest neighbours (Å) after each atom.
Element x y z (fractional)
Pt 0.0214 0.0214 0.2286  4 I 2.77-2.78, 3 Pt 2.81-2.85
Pt 0.2286 0.2286 0.0214  4 I 2.77-2.78, 3 Pt 2.81-2.85
Pt 0.7714 0.7714 0.9786  4 I 2.77-2.78, 3 Pt 2.81-2.85
Pt 0.9786 0.9786 0.7714  4 I 2.77-2.78, 3 Pt 2.81-2.85
I 0.1675 0.5825 0.1675  4 Pt 2.77-2.78
I 0.4175 0.8325 0.4175  4 Pt 2.77-2.78
I 0.5825 0.1675 0.5825  4 Pt 2.77-2.78
I 0.8325 0.4175 0.8325  4 Pt 2.77-2.78

Output
space group	No. 70

---

Computed values of density (unit: g cm⁻³) for the preceding records, in sequence: 5.58 5.92 6.04 6.74 6.24 6.34 5.45 5.78 6.73 9.41 9.73 6.34 5.89 6.14 6.57 9.56 8.86 11.60 9.24 10.15.
Computed values of electronic total energy (unit: eV per atom) for the preceding records, in sequence: -5.147 -4.719 -4.751 -3.627 -3.667 -3.674 -3.376 -3.841 -5.140 -3.561 -3.553 -2.877 -2.566 -2.547 -2.802 -3.602 -3.499 -3.475 -3.423 -3.495.
Computed values of uncorrected formation energy (unit: kcal/mol of atoms) for the preceding records, in sequence: -7.660 -10.490 -8.254 -12.247 -13.172 -13.324 -19.397 -21.829 -4.172 5.418 5.597 -1.008 -2.723 -2.266 -2.989 4.472 6.840 7.399 8.597 6.932.